Entry 1:
A geometry-optimized CrHgP2 structure. Source: Alexandria via LeMat-Bulk, functional PBE.

Lattice parameters (Å, degrees): 4.400 3.371 5.825 72.50 90.00 90.00
Last column: magnetic moment on the atom in μB.
Positions (direct):
Hg 0.500 0.750 0.750  0.02
P 0.000 0.433 0.388  -0.02
P 0.000 0.067 0.112  -0.02
Cr 0.500 0.250 0.250  3.36

Results
Its symmetry is No. 10.


Entry 2:
A geometry-optimized Cr2HgP structure. Source: Alexandria via LeMat-Bulk, functional PBE.

Lattice parameters (Å, degrees): 3.954 3.954 8.923 77.20 77.20 90.00
Positions (direct):
P 0.250 0.750 0.500
Hg 0.000 0.000 0.000
Cr 0.875 0.755 0.750
Cr 0.505 0.125 0.250
P 0.500 0.500 0.000
Cr 0.375 0.495 0.750
Hg 0.750 0.250 0.500
Cr 0.245 0.625 0.250

Results
Its symmetry is No. 122. For the energy above the lowest structure with this stoichiometry, the calculation gives 233.7 kJ/mol of formula units.


Entry 3:
A geometry-optimized Cr2HgP structure. Source: Alexandria via LeMat-Bulk, functional PBE.

Lattice parameters (Å, degrees): 2.912 2.911 7.302 66.52 90.00 90.00
Last column: magnetic moment on the atom in μB.
Positions (direct):
Cr 0.000 0.429 0.570  0.52
P 0.500 0.750 0.750  -0.05
Hg 0.500 0.250 0.250  -0.01
Cr 0.000 0.071 0.930  0.52

Results
Its symmetry is No. 123. For the energy above the lowest structure with this stoichiometry, the calculation gives 7.1 kJ/mol of formula units.


Entry 4:
A geometry-optimized CrHgP2 structure. Source: Alexandria via LeMat-Bulk, functional PBE.

Lattice parameters (Å, degrees): 7.564 7.564 7.564 25.36 25.36 25.36
Last column: magnetic moment on the atom in μB.
Positions (direct):
P 0.746 0.746 0.746  -0.07
P 0.018 0.018 0.018  0.08
Hg 0.250 0.250 0.250  -0.01
Cr 0.486 0.486 0.486  3.29

Results
Its symmetry is No. 160.


Entry 5:
A geometry-optimized Cr2HgP structure. Source: Alexandria via LeMat-Bulk, functional PBE.

Lattice parameters (Å, degrees): 7.192 7.192 7.192 154.51 156.26 35.11
Last column: magnetic moment on the atom in μB.
Positions (direct):
Cr 0.085 0.085 0.000  2.57
P 0.207 0.707 0.500  -0.11
Cr 0.766 0.266 0.500  1.09
Hg 0.442 0.442 0.000  0.01

Results
Its symmetry is No. 44. For the energy above the lowest structure with this stoichiometry, the calculation gives 15.2 kJ/mol of formula units.


Entry 6:
A geometry-optimized CrHgP2 structure. Source: Alexandria via LeMat-Bulk, functional PBE.

Lattice parameters (Å, degrees): 4.889 4.889 4.889 129.51 129.51 74.19
Last column: magnetic moment on the atom in μB.
Positions (direct):
Cr 0.250 0.750 0.500  3.24
Hg 0.750 0.250 0.500  -0.03
P 0.500 0.500 0.000  -0.08
P 0.000 0.000 0.000  -0.08

Results
Its symmetry is No. 139.


Entry 7:
A geometry-optimized CrHgP2 structure. Source: Alexandria via LeMat-Bulk, functional PBE.

Lattice parameters (Å, degrees): 4.620 4.620 4.620 60.00 60.00 60.00
Last column: magnetic moment on the atom in μB.
Positions (direct):
Cr 0.500 0.500 0.500  3.51
P 0.000 0.000 0.000  -0.04
Hg 0.750 0.750 0.750  0.01
P 0.250 0.250 0.250  -0.16

Results
Its symmetry is No. 216.


Entry 8:
A geometry-optimized Cr2HgP structure. Source: Alexandria via LeMat-Bulk, functional PBE.

Lattice parameters (Å, degrees): 7.023 7.023 7.023 27.95 27.95 27.95
Last column: magnetic moment on the atom in μB.
Positions (direct):
Hg 0.250 0.250 0.250  -0.02
P 0.750 0.750 0.750  -0.17
Cr 0.022 0.022 0.022  2.64
Cr 0.478 0.478 0.478  2.64

Results
Its symmetry is No. 166. For the energy above the lowest structure with this stoichiometry, the calculation gives 0.0 kJ/mol of formula units.


no.,E_form (eV/atom),DOS at the Fermi energy (states/eV/f.u.)
1,0.19,0.95
2,0.71,4.91
3,0.12,3.53
4,0.32,3.38
5,0.14,3.02
6,0.55,1.69
7,0.71,2.73
8,0.10,1.74